{
  "formula": "HfAs2AuSe",
  "functional": "meta-GGA SCAN",
  "state": "PBEsol geometry",
  "magmom_total_mub_per_cell": 0.00,
  "final_energy_ev_per_cell": -188.796,
  "formation_energy_uncorrected_ev_per_atom": 0.699,
  "space_group": "P4/mmm",
  "lattice_angstrom": [[-3.939, -1.940, -2.041], [2.771, -2.043, -3.405], [0.514, -4.019, 2.829]],
  "species": ["Hf", "As", "As", "Au", "Se"],
  "frac_coords": [[0.500, 0.500, 0.500], [0.500, 0.000, 0.000], [0.000, 0.500, 0.000], [0.000, 0.000, 0.000], [0.000, 0.000, 0.500]]
}

=====

{
  "formula": "LaSc2",
  "functional": "meta-GGA SCAN",
  "state": "PBEsol geometry",
  "magmom_total_mub_per_cell": 1.09,
  "relative_energy_mev_per_atom": 30,
  "final_energy_ev_per_cell": -142.574,
  "space_group": "R32",
  "delta_e_f_ev_per_atom": 0.097,
  "lattice_angstrom": [[-3.494, 4.685, -0.668], [-1.724, 1.641, -5.380], [-6.062, -1.055, -1.595]],
  "species": ["Sc", "Sc", "Sc", "Sc", "La", "La"],
  "frac_coords": [[0.838, 0.162, 0.500], [0.162, 0.500, 0.500], [0.500, 0.838, 0.500], [0.000, 0.000, 0.000], [0.665, 0.665, 0.004], [0.335, 0.335, 0.996]]
}

=====

{
  "formula": "LaSc2Al",
  "functional": "meta-GGA SCAN",
  "state": "PBEsol geometry",
  "magmom_total_mub_per_cell": 0.00,
  "final_energy_ev_per_cell": -80.151,
  "space_group": "P4/mmm",
  "delta_e_f_ev_per_atom": -0.205,
  "lattice_angstrom": [[-2.665, -1.912, -0.648], [1.333, -2.473, 1.812], [-3.824, 2.992, 6.898]],
  "species": ["La", "Al", "Sc", "Sc"],
  "frac_coords": [[0.500, 0.500, 0.500], [0.500, 0.500, 0.000], [0.000, 0.000, 0.794], [0.000, 0.000, 0.206]]
}